No. 1
Below is Ba2InSn after structural relaxation, with properties calculated at the GGA-PBE level.

abc: 4.8332 7.0540 10.4505
angles: 111.74 90.00 90.00
Site moments in Bohr magnetons follow the coordinates.
Positions (direct):
Sn1 0.7500 0.6390 0.2846  0.00
Ba1 0.7500 0.2200 0.4318  0.02
Ba2 0.2500 0.7800 0.5682  0.02
Ba3 0.2500 0.7756 0.0701  0.03
Sn2 0.2500 0.3610 0.7154  0.00
In1 0.7500 0.6409 0.7843  0.05
In2 0.2500 0.3591 0.2157  0.05
Ba4 0.7500 0.2244 0.9299  0.03

Properties
Its energy above the most stable polymorph in this dataset is 0 meV per atom. As for the formation enthalpy at 0 K: -0.5616 eV per atom. Its space group is P2_1/m, No. 11. Its size of the total moment is 0.077 μB/atom.

No. 2
Below is MgSi3Ir5 after structural relaxation, with properties calculated at the GGA-PBE level.

abc: 3.8512 6.5982 12.3610
angles: 90.00 90.00 106.97
Positions (direct):
Ir1 0.2029 0.4059 0.9312
Si1 0.6164 0.2329 0.0426
Ir2 0.2029 0.4059 0.5688
Si2 0.3836 0.7671 0.9574
Si3 0.1423 0.2847 0.7500
Ir3 0.5522 0.1044 0.8525
Ir4 0.7971 0.5941 0.4312
Si4 0.8577 0.7153 0.2500
Ir5 0.5522 0.1044 0.6475
Si5 0.6164 0.2329 0.4574
Si6 0.3836 0.7671 0.5426
Ir6 0.7971 0.5941 0.0688
Mg1 0.9088 0.8177 0.7500
Ir7 0.4478 0.8956 0.1475
Mg2 0.0912 0.1823 0.2500
Ir8 0.0000 0.0000 0.5000
Ir9 0.4478 0.8956 0.3525
Ir10 0.0000 0.0000 0.0000

Properties
The formation energy from raw total energies is -32 kJ per mole of atoms. Its space group is Cmcm, No. 63. Its size of the total moment is 0.000 μB/atom.

No. 3
Below is Cr2CuIr after structural relaxation, with properties calculated at the GGA-PBE level.

abc: 4.6751 4.6751 4.2367
angles: 76.80 76.80 34.32
Positions (direct):
Cr1 0.5020 0.5020 0.4781
Ir1 0.2500 0.2500 0.2500
Cr2 0.9980 0.9980 0.0219
Cu1 0.7500 0.7500 0.7500

Properties
As for the formation enthalpy at 0 K: 0.1607 eV per atom. Its space group is C2/m, No. 12. Its size of the total moment is 0.000 μB/atom.

No. 4
Below is TmTh2Co2 after structural relaxation, with properties calculated at the GGA-PBE level.

abc: 3.7455 7.6216 7.6216
angles: 90.00 90.00 90.00
Positions (direct):
Tm1 0.0000 0.5000 0.5000
Th1 0.5000 0.6646 0.8354
Co1 0.0000 0.8698 0.6302
Th2 0.5000 0.8354 0.3354
Co2 0.0000 0.1302 0.3698
Tm2 0.0000 0.0000 0.0000
Co3 0.0000 0.3698 0.8698
Th3 0.5000 0.1646 0.6646
Th4 0.5000 0.3354 0.1646
Co4 0.0000 0.6302 0.1302

Properties
Its energy above the most stable polymorph in this dataset is 0 meV per atom. As for the formation enthalpy at 0 K: -0.2567 eV per atom. Its space group is P4/mbm, No. 127. Its size of the total moment is 0.000 μB/atom.

No. 5
Below is Mo2AuC after structural relaxation, with properties calculated at the GGA-PBE level.

abc: 4.2996 4.2996 4.2996
angles: 60.00 60.00 60.00
Positions (direct):
Au1 0.5000 0.5000 0.5000
Mo1 0.2500 0.2500 0.2500
C1 0.0000 0.0000 0.0000
Mo2 0.7500 0.7500 0.7500

Properties
Its energy above the most stable polymorph in this dataset is 859 meV per atom. As for the formation enthalpy at 0 K: 1.2243 eV per atom. Its space group is Fm-3m, No. 225. Its size of the total moment is 0.000 μB/atom.

No. 6
Below is CaPmInSi after structural relaxation, with properties calculated at the GGA-PBE level.

abc: 5.2670 5.2670 5.2670
angles: 60.00 60.00 60.00
Positions (direct):
In1 0.0000 0.0000 0.0000
Pm1 0.7500 0.7500 0.7500
Si1 0.5000 0.5000 0.5000
Ca1 0.2500 0.2500 0.2500

Properties
The formation energy from raw total energies is -33 kJ per mole of atoms. Its space group is F-43m, No. 216. Its size of the total moment is 0.000 μB/atom.

No. 7
Below is Pm2CoNi4As3 after structural relaxation, with properties calculated at the GGA-PBE level.

abc: 4.0987 4.0987 9.6073
angles: 90.00 90.00 90.00
Site moments in Bohr magnetons follow the coordinates.
Positions (direct):
Pm1 0.5000 0.0000 0.2487  -0.02
Ni1 0.0000 0.0000 0.0000  0.03
Ni2 0.5000 0.5000 0.0000  0.03
Ni3 0.5000 0.0000 0.6204  0.28
Co1 0.5000 0.5000 0.5000  1.62
Pm2 0.0000 0.5000 0.7513  -0.02
As1 0.5000 0.0000 0.8675  0.01
Ni4 0.0000 0.5000 0.3796  0.28
As2 0.0000 0.0000 0.5000  0.03
As3 0.0000 0.5000 0.1325  0.01

Properties
As for the formation enthalpy at 0 K: -0.6911 eV per atom. Its space group is P-4m2, No. 115. Its size of the total moment is 0.217 μB/atom.

No. 8
Below is KCu2Os after structural relaxation, with properties calculated at the GGA-PBE level.

abc: 2.5626 4.2709 7.3109
angles: 90.00 90.00 90.00
Positions (direct):
Cu1 0.5000 0.5000 0.1874
Cu2 0.0000 0.0000 0.9499
Os1 0.5000 0.5000 0.8551
K1 0.0000 0.0000 0.5077

Properties
Its energy above the most stable polymorph in this dataset is 182 meV per atom. As for the formation enthalpy at 0 K: 0.8025 eV per atom. Its space group is Pmm2, No. 25. Its size of the total moment is 0.000 μB/atom.